Density functional theory data (PBE-GGA) for a relaxed K2ErSb2Te6 crystal.

```
data_K2ErSb2Te6
_space_group_name_H-M_alt 'C 1 2/m 1'
_space_group_IT_number 12
_cell_length_a 7.588
_cell_length_b 13.125
_cell_length_c 8.965
_cell_angle_alpha 90.00
_cell_angle_beta 107.15
_cell_angle_gamma 90.00
loop_
_space_group_symop_operation_xyz
'x,y,z'
'-x,-y,-z'
'-x,y,-z'
'x,-y,z'
'x+1/2,y+1/2,z'
'-x+1/2,-y+1/2,-z'
'-x+1/2,y+1/2,-z'
'x+1/2,-y+1/2,z'
loop_
_atom_site_label
_atom_site_type_symbol
_atom_site_fract_x
_atom_site_fract_y
_atom_site_fract_z
K1 K 0.000 0.168 0.000
Er1 Er 0.000 0.000 0.500
Sb1 Sb 0.000 0.330 0.500
Te1 Te 0.237 0.500 0.702
Te2 Te 0.238 0.166 0.703
```

For the formation energy from raw total energies, the calculation gives -0.682 eV per atom.


Density functional theory data (PBE-GGA) for a relaxed Al3RhI crystal.

```
data_Al3RhI
_space_group_name_H-M_alt 'P m -3 m'
_space_group_IT_number 221
_space_group_name_Hall '-P 4 2 3'
_cell_length_a 4.878
_cell_length_b 4.878
_cell_length_c 4.878
_cell_angle_alpha 90.00
_cell_angle_beta 90.00
_cell_angle_gamma 90.00
loop_
_atom_site_label
_atom_site_type_symbol
_atom_site_fract_x
_atom_site_fract_y
_atom_site_fract_z
Al1 Al 0.000 0.000 0.500
Rh1 Rh 0.000 0.000 0.000
I1 I 0.500 0.500 0.500
```

The calculation puts the offset from the most stable computed form at 0.0 meV per atom. For the formation energy from raw total energies, the calculation gives -0.253 eV per atom.


Density functional theory data (PBE-GGA) for a relaxed KBaPb2 crystal.

```
data_KBaPb2
_space_group_name_H-M_alt 'P n m a'
_space_group_IT_number 62
_cell_length_a 8.017
_cell_length_b 7.731
_cell_length_c 9.892
_cell_angle_alpha 90.00
_cell_angle_beta 90.00
_cell_angle_gamma 90.00
loop_
_space_group_symop_operation_xyz
'x,y,z'
'-x,-y,-z'
'-x+1/2,-y,z+1/2'
'x+1/2,y,-z+1/2'
'x+1/2,-y+1/2,-z+1/2'
'-x+1/2,y+1/2,z+1/2'
'-x,y+1/2,-z'
'x,-y+1/2,z'
loop_
_atom_site_label
_atom_site_type_symbol
_atom_site_fract_x
_atom_site_fract_y
_atom_site_fract_z
K1 K 0.001 0.250 0.213
Ba1 Ba 0.001 0.250 0.797
Pb1 Pb 0.188 0.024 0.499
```

The calculation puts the offset from the most stable computed form at 31.4 meV per atom.